The following is a PBE with a Hubbard U calculation of MnBOF2 after structural relaxation, from the Alexandria database.

abc: 4.3993 4.3993 2.6656
angles: 90.00 90.00 90.00
Positions (direct):
Mn1 0.0000 0.0000 0.0000
B1 0.5000 0.5000 0.5000
O1 0.5000 0.5000 0.0000
F1 0.0000 0.5000 0.5000
F2 0.5000 0.0000 0.5000

Output
SG: No. 123
N(E_F), states/eV per cell: 1.3
Energy relative to the lowest polymorph listed for this composition, eV per formula unit: 0.000
Total DFT energy (no corrections), eV/cell: -29.8
M_tot, μB/f.u.: 4.704
ρ, g/cm³: 3.9

---

The following is a PBE with a Hubbard U calculation of MnBO2F after structural relaxation, from the Alexandria database.

abc: 5.2491 4.9208 5.2702
angles: 90.00 117.00 90.00
Positions (direct):
Mn1 0.0174 0.2500 0.2125
Mn2 0.9826 0.7500 0.7875
B1 0.3613 0.2500 0.8883
B2 0.6387 0.7500 0.1117
O1 0.0845 0.2500 0.8529
O2 0.3940 0.7500 0.8733
O3 0.6060 0.2500 0.1267
O4 0.9155 0.7500 0.1471
F1 0.3746 0.2500 0.6180
F2 0.6254 0.7500 0.3820

Output
SG: No. 11
N(E_F), states/eV per cell: 0.0
Total DFT energy (no corrections), eV/cell: -73.0
M_tot, μB/f.u.: 5.000
ρ, g/cm³: 3.2